Compound: NaFeTc2O8
Source: Alexandria
Functional: PBE with a Hubbard U
Structure: relaxed

Cell lengths 5.8143, 5.8143, 6.4756 Å; angles 90.00, 90.00, 120.00 degrees
Element x y z (fractional)
Na  0.0000  0.0000  0.0000
Fe  0.0000  0.0000  0.5000
Tc  0.3333  0.6667  0.2187
Tc  0.6667  0.3333  0.7813
O  0.1659  0.3319  0.3037
O  0.1659  0.8341  0.3037
O  0.3319  0.1659  0.6963
O  0.3333  0.6667  0.9506
O  0.6667  0.3333  0.0494
O  0.6681  0.8341  0.3037
O  0.8341  0.1659  0.6963
O  0.8341  0.6681  0.6963

Properties
The magnetization is 2.9 Bohr magnetons per cell. For the final energy, the calculation gives -7.074 eV per atom. Its volume is 190 Å³ per cell. Its symmetry is P-3m1. For the mass density, the calculation gives 3.5 g/cm3.